(1)
DFT (GGA-PBE) results for a geometry-optimized TaMo2Au structure.

Cell: 5.589 9.223 2.734 Å, 90.00 107.32 90.00°
Space group C2/m (No. 12)
Symmetry-distinct sites (fractional):
Ta: 0.000 0.000 0.000 (multiplicity 2)
Mo: 0.250 0.250 0.500 (multiplicity 4)
Au: 0.000 0.500 0.000 (multiplicity 2)

(2)
DFT (GGA-PBE) results for a geometry-optimized Ta2MoAu structure.

Cell: 3.319 3.319 6.352 Å, 90.00 90.00 90.00°
Space group P4/mmm (No. 123)
Symmetry-distinct sites (fractional):
Ta: 0.000 0.000 0.233 (multiplicity 2)
Mo: 0.500 0.500 0.000 (multiplicity 1)
Au: 0.500 0.500 0.500 (multiplicity 1)

(3)
DFT (GGA-PBE) results for a geometry-optimized TaMo3Au structure.

Cell: 4.748 4.748 4.748 Å, 90.00 90.00 90.00°
Space group Pm-3m (No. 221)
Symmetry-distinct sites (fractional):
Ta: 0.000 0.000 0.000 (multiplicity 1)
Mo: 0.000 0.000 0.500 (multiplicity 3)
Au: 0.500 0.500 0.500 (multiplicity 1)

(4)
DFT (GGA-PBE) results for a geometry-optimized TaMo2Au structure.

Cell: 2.732 2.732 9.078 Å, 90.00 90.00 90.00°
Space group P4/mmm (No. 123)
Symmetry-distinct sites (fractional):
Ta: 0.000 0.000 0.000 (multiplicity 1)
Mo: 0.500 0.500 0.254 (multiplicity 2)
Au: 0.000 0.000 0.500 (multiplicity 1)

(5)
DFT (GGA-PBE) results for a geometry-optimized TaMo4Au structure.

Cell: 7.416 7.416 7.416 Å, 90.00 90.00 90.00°
Space group F-43m (No. 216)
Symmetry-distinct sites (fractional):
Ta: 0.000 0.000 0.000 (multiplicity 4)
Mo: 0.125 0.125 0.375 (multiplicity 16)
Au: 0.250 0.250 0.750 (multiplicity 4)

(6)
DFT (GGA-PBE) results for a geometry-optimized TaMo2Au structure.

Cell: 3.283 4.492 9.136 Å, 90.00 90.00 90.00°
Space group Cmm2 (No. 35)
Symmetry-distinct sites (fractional):
Ta: 0.000 0.000 0.000 (multiplicity 2)
Mo: 0.000 0.000 0.518 (multiplicity 2)
Mo: 0.000 0.500 0.754 (multiplicity 2)
Au: 0.000 0.500 0.258 (multiplicity 2)

Results for energy of formation from the pure elements: 0.16 -0.09 1.79 0.16 0.25 0.05 (in eV/atom, following the order of the records).
Results for total DFT energy (no corrections): -72.314 -38.159 -38.682 -36.157 -227.927 -73.200 (in eV for the cell shown, following the order of the records).